No. 1
# Pa2TcO8 | the Alexandria database | GGA-PBE | relaxed
# Final energy, eV/f.u.: -96.35
# Total moment, μB/atom: 0.091
data_Pa2TcO8
_chemical_formula_sum 'Pa4 Tc2 O16'
_space_group_name_H-M_alt 'C 1 2/m 1'
_space_group_IT_number 12
_space_group_name_Hall '-C 2y'
_cell_length_a 11.676
_cell_length_b 3.763
_cell_length_c 6.743
_cell_angle_alpha 90.00
_cell_angle_beta 99.91
_cell_angle_gamma 90.00
loop_
_atom_site_label
_atom_site_type_symbol
_atom_site_fract_x
_atom_site_fract_y
_atom_site_fract_z
_atom_site_occupancy
Pa1 Pa 0.240 0.000 0.237 1
Tc1 Tc 0.000 0.000 0.500 1
O1 O 0.052 0.000 0.252 1
O2 O 0.075 0.500 0.623 1
O3 O 0.190 0.500 0.060 1
O4 O 0.193 0.000 0.579 1


No. 2
# Mn2AlRu | the Alexandria database | GGA-PBE | relaxed
# Formation energy, kJ/mol of atoms: -11
# Total moment, μB/atom: 1.155
data_Mn2AlRu
_chemical_formula_sum 'Mn4 Al2 Ru2'
_space_group_name_H-M_alt 'C 1 m 1'
_space_group_IT_number 8
_space_group_name_Hall 'C -2y'
_cell_length_a 8.942
_cell_length_b 2.865
_cell_length_c 4.336
_cell_angle_alpha 90.00
_cell_angle_beta 109.32
_cell_angle_gamma 90.00
loop_
_atom_site_label
_atom_site_type_symbol
_atom_site_fract_x
_atom_site_fract_y
_atom_site_fract_z
_atom_site_occupancy
Mn1 Mn 0.000 0.000 0.000 1
Mn2 Mn 0.246 0.500 0.230 1
Al1 Al 0.243 0.000 0.733 1
Ru1 Ru 0.489 0.000 0.485 1


What is the formula in the first record?
Pa2TcO8